Here is crystalline KNbCl3 at its relaxed geometry from OQMD. Energies are from PBE-GGA. Values from VASP.

crystal system: tetragonal
DFT total energy: -4.476 eV per atom
calculated volume: 136 Å³/cell
space group: P4mm

```
&SYSTEM
  ibrav = 0, nat = 5, ntyp = 3
/
ATOMIC_SPECIES
Cl 35.45 Cl.upf
K 39.10 K.upf
Nb 92.91 Nb.upf
CELL_PARAMETERS angstrom
5.110 0.000 0.000
0.000 5.110 0.000
0.000 0.000 5.205
ATOMIC_POSITIONS crystal
Cl 0.500 0.500 0.074
Cl 0.500 0.000 0.617
Cl 0.000 0.500 0.617
K 0.000 0.000 0.030
Nb 0.500 0.500 0.562
```